First-principles (PBE-GGA) data for Cs2AgCl7 after structural relaxation, as listed in Alexandria.

abc: 7.2663 7.2663 8.8977
angles: 116.91 116.91 60.31
Last column: nearest neighbours and their distance in Å.
Sites, in units of the cell vectors:
Cs: 0.2412 0.2412 0.2528  9 Cl 3.59-3.75
Cs: 0.7588 0.7588 0.7472  9 Cl 3.59-3.75
Ag: 0.5000 0.5000 0.0000  4 Cl 2.35
Cl: 0.0000 0.0000 0.5000  2 Cl 2.31
Cl: 0.2149 0.2149 0.6354  1 Cl 2.31
Cl: 0.2333 0.6867 0.1509  1 Ag 2.35
Cl: 0.3133 0.7667 0.8491  1 Ag 2.35
Cl: 0.6867 0.2333 0.1509  1 Ag 2.35
Cl: 0.7667 0.3133 0.8491  1 Ag 2.35
Cl: 0.7851 0.7851 0.3646  1 Cl 2.31

Computed properties:
Symmetry: C2/m (12)
Formation energy from raw total energies, eV/atom: -0.952

***

First-principles (PBE-GGA) data for Cs5Ag2Cl6 after structural relaxation, as listed in Alexandria.

abc: 13.6327 16.4158 4.7264
angles: 90.00 90.00 90.00
Last column: nearest neighbours and their distance in Å.
Sites, in units of the cell vectors:
Cs: 0.0000 0.0000 0.0000  6 Cl 3.58-3.59
Cs: 0.1347 0.2477 0.0000  6 Cl 3.45-3.62
Cs: 0.1491 0.5355 0.0000  6 Cl 3.53-3.79
Cs: 0.3509 0.0355 0.0000  6 Cl 3.53-3.79
Cs: 0.3653 0.7477 0.0000  6 Cl 3.45-3.62
Cs: 0.5000 0.5000 0.0000  6 Cl 3.58-3.59
Cs: 0.6347 0.2523 0.0000  6 Cl 3.45-3.62
Cs: 0.6491 0.9645 0.0000  6 Cl 3.53-3.79
Cs: 0.8509 0.4645 0.0000  6 Cl 3.53-3.79
Cs: 0.8653 0.7523 0.0000  6 Cl 3.45-3.62
Ag: 0.0971 0.7459 0.5000  3 Cl 2.59-2.76
Ag: 0.4029 0.2459 0.5000  3 Cl 2.59-2.76
Ag: 0.5971 0.7541 0.5000  3 Cl 2.59-2.76
Ag: 0.9029 0.2541 0.5000  3 Cl 2.59-2.76
Cl: 0.0315 0.3837 0.5000  1 Ag 2.76
Cl: 0.1224 0.8072 0.0000  2 Ag 2.59
Cl: 0.1686 0.0863 0.5000  6 Cs 3.53-3.59
Cl: 0.3314 0.5863 0.5000  6 Cs 3.53-3.59
Cl: 0.3776 0.3072 0.0000  2 Ag 2.59
Cl: 0.4685 0.8837 0.5000  1 Ag 2.76
Cl: 0.5315 0.1163 0.5000  1 Ag 2.76
Cl: 0.6224 0.6928 0.0000  2 Ag 2.59
Cl: 0.6686 0.4137 0.5000  6 Cs 3.53-3.59
Cl: 0.8314 0.9137 0.5000  6 Cs 3.53-3.59
Cl: 0.8776 0.1928 0.0000  2 Ag 2.59
Cl: 0.9685 0.6163 0.5000  1 Ag 2.76

Computed properties:
Symmetry: Pbam (55)
D(E_F), states/eV per atom: 0.21
Formation energy from raw total energies, eV/atom: -1.381

***

First-principles (PBE-GGA) data for Cs3AgCl4 after structural relaxation, as listed in Alexandria.

abc: 7.2208 7.2208 7.2208
angles: 109.47 109.47 109.47
Last column: nearest neighbours and their distance in Å.
Sites, in units of the cell vectors:
Cs: 0.0000 0.5000 0.5000  4 Cl 3.41
Cs: 0.5000 0.0000 0.5000  4 Cl 3.41
Cs: 0.5000 0.5000 0.0000  4 Cl 3.41
Ag: 0.0000 0.0000 0.0000  4 Cl 2.67
Cl: 0.0000 0.0000 0.6298  1 Ag 2.67
Cl: 0.0000 0.6298 0.0000  1 Ag 2.67
Cl: 0.3702 0.3702 0.3702  1 Ag 2.67
Cl: 0.6298 0.0000 0.0000  1 Ag 2.67

Computed properties:
Symmetry: I-43m (217)
Excess energy over the best structure of this formula in the dataset, meV/atom: 36
D(E_F), states/eV per atom: 0.00
Formation energy from raw total energies, eV/atom: -1.545

***

First-principles (PBE-GGA) data for Cs8AgCl6 after structural relaxation, as listed in Alexandria.

abc: 13.0610 13.0610 5.0746
angles: 90.00 90.00 120.00
Last column: nearest neighbours and their distance in Å.
Sites, in units of the cell vectors:
Cs: 0.0401 0.3378 0.2488  4 Cl 3.45-3.67
Cs: 0.2977 0.9599 0.2488  4 Cl 3.45-3.67
Cs: 0.3333 0.6667 0.7506  6 Cl 3.57
Cs: 0.3378 0.2977 0.7512  4 Cl 3.45-3.67
Cs: 0.6622 0.7023 0.2488  4 Cl 3.45-3.67
Cs: 0.6667 0.3333 0.2494  6 Cl 3.57
Cs: 0.7023 0.0401 0.7512  4 Cl 3.45-3.67
Cs: 0.9599 0.6622 0.7512  4 Cl 3.45-3.67
Ag: 0.0000 0.0000 0.0000  6 Cs 4.36
Cl: 0.1354 0.6545 0.2507  6 Cs 3.45-3.67
Cl: 0.3455 0.4809 0.2507  6 Cs 3.45-3.67
Cl: 0.4809 0.1354 0.7493  6 Cs 3.45-3.67
Cl: 0.5191 0.8646 0.2507  6 Cs 3.45-3.67
Cl: 0.6545 0.5191 0.7493  6 Cs 3.45-3.67
Cl: 0.8646 0.3455 0.7493  6 Cs 3.45-3.67

Computed properties:
Symmetry: P-3 (147)
D(E_F), states/eV per atom: 0.25
Formation energy from raw total energies, eV/atom: -1.486

***

First-principles (PBE-GGA) data for CsAg2Cl5 after structural relaxation, as listed in Alexandria.

abc: 10.2207 10.2207 10.2207
angles: 151.62 151.62 40.57
Last column: nearest neighbours and their distance in Å.
Sites, in units of the cell vectors:
Cs: 0.0000 0.0000 0.0000  12 Cl 3.54-3.72
Ag: 0.3599 0.3599 0.0000  5 Cl 2.51-2.69
Ag: 0.6401 0.6401 0.0000  5 Cl 2.51-2.69
Cl: 0.1436 0.6436 0.5000  2 Ag 2.51
Cl: 0.3564 0.8564 0.5000  2 Ag 2.51
Cl: 0.5000 0.5000 0.0000  2 Ag 2.69
Cl: 0.6436 0.1436 0.5000  2 Ag 2.51
Cl: 0.8564 0.3564 0.5000  2 Ag 2.51

Computed properties:
Symmetry: I4/mmm (139)
D(E_F), states/eV per atom: 0.50
Formation energy from raw total energies, eV/atom: -0.733

***

First-principles (PBE-GGA) data for Cs2AgCl3 after structural relaxation, as listed in Alexandria.

abc: 7.8031 7.8031 7.7374
angles: 90.00 90.00 68.62
Last column: nearest neighbours and their distance in Å.
Sites, in units of the cell vectors:
Cs: 0.0085 0.6642 0.5000  6 Cl 3.38-3.64
Cs: 0.3358 0.9915 0.5000  6 Cl 3.38-3.64
Cs: 0.6642 0.0085 0.0000  6 Cl 3.38-3.64
Cs: 0.9915 0.3358 0.0000  6 Cl 3.38-3.64
Ag: 0.4021 0.5979 0.0168  5 Cl 2.62-2.85
Ag: 0.5979 0.4021 0.5168  5 Cl 2.62-2.85
Cl: 0.1206 0.8794 0.1284  1 Ag 2.62
Cl: 0.3425 0.3736 0.7673  2 Ag 2.76-2.85
Cl: 0.3736 0.3425 0.2673  2 Ag 2.76-2.85
Cl: 0.6264 0.6575 0.7673  2 Ag 2.76-2.85
Cl: 0.6575 0.6264 0.2673  2 Ag 2.76-2.85
Cl: 0.8794 0.1206 0.6284  1 Ag 2.62

Computed properties:
Symmetry: Cmc2_1 (36)
D(E_F), states/eV per atom: 0.00
Formation energy from raw total energies, eV/atom: -1.432

***

First-principles (PBE-GGA) data for Cs3Ag5Cl12 after structural relaxation, as listed in Alexandria.

abc: 14.8936 14.8936 14.8936
angles: 109.47 109.47 109.47
Last column: nearest neighbours and their distance in Å.
Sites, in units of the cell vectors:
Cs: 0.1250 0.2500 0.3750  8 Cl 3.43-3.63
Cs: 0.1250 0.3750 0.7500  8 Cl 3.43-3.63
Cs: 0.2500 0.3750 0.1250  8 Cl 3.43-3.63
Cs: 0.2500 0.8750 0.6250  8 Cl 3.43-3.63
Cs: 0.3750 0.1250 0.2500  8 Cl 3.43-3.63
Cs: 0.3750 0.7500 0.1250  8 Cl 3.43-3.63
Cs: 0.6250 0.2500 0.8750  8 Cl 3.43-3.63
Cs: 0.6250 0.8750 0.7500  8 Cl 3.43-3.63
Cs: 0.7500 0.1250 0.3750  8 Cl 3.43-3.63
Cs: 0.7500 0.6250 0.8750  8 Cl 3.43-3.63
Cs: 0.8750 0.6250 0.2500  8 Cl 3.43-3.63
Cs: 0.8750 0.7500 0.6250  8 Cl 3.43-3.63
Ag: 0.0000 0.0000 0.0000  6 Cl 2.60
Ag: 0.0000 0.0000 0.5000  6 Cl 2.60
Ag: 0.0000 0.5000 0.0000  6 Cl 2.60
Ag: 0.0000 0.5000 0.5000  6 Cl 2.60
Ag: 0.1250 0.7500 0.8750  4 Cl 2.53
Ag: 0.1250 0.8750 0.2500  4 Cl 2.53
Ag: 0.2500 0.1250 0.8750  4 Cl 2.53
Ag: 0.2500 0.6250 0.3750  4 Cl 2.53
Ag: 0.3750 0.2500 0.6250  4 Cl 2.53
Ag: 0.3750 0.6250 0.7500  4 Cl 2.53
Ag: 0.5000 0.0000 0.0000  6 Cl 2.60
Ag: 0.5000 0.0000 0.5000  6 Cl 2.60
Ag: 0.5000 0.5000 0.0000  6 Cl 2.60
Ag: 0.5000 0.5000 0.5000  6 Cl 2.60
Ag: 0.6250 0.3750 0.2500  4 Cl 2.53
Ag: 0.6250 0.7500 0.3750  4 Cl 2.53
Ag: 0.7500 0.3750 0.6250  4 Cl 2.53
Ag: 0.7500 0.8750 0.1250  4 Cl 2.53
Ag: 0.8750 0.1250 0.7500  4 Cl 2.53
Ag: 0.8750 0.2500 0.1250  4 Cl 2.53
Cl: 0.0063 0.1830 0.1044  2 Ag 2.53-2.60
Cl: 0.0063 0.3233 0.9019  2 Ag 2.53-2.60
Cl: 0.0785 0.6830 0.6767  2 Ag 2.53-2.60
Cl: 0.0785 0.8956 0.4019  2 Ag 2.53-2.60
Cl: 0.0981 0.6044 0.4215  2 Ag 2.53-2.60
Cl: 0.0981 0.9937 0.6767  2 Ag 2.53-2.60
Cl: 0.1044 0.0063 0.1830  2 Ag 2.53-2.60
Cl: 0.1044 0.5981 0.9215  2 Ag 2.53-2.60
Cl: 0.1767 0.1830 0.5785  2 Ag 2.53-2.60
Cl: 0.1767 0.4937 0.5981  2 Ag 2.53-2.60
Cl: 0.1830 0.1044 0.0063  2 Ag 2.53-2.60
Cl: 0.1830 0.5785 0.1767  2 Ag 2.53-2.60
Cl: 0.3170 0.3233 0.9215  2 Ag 2.53-2.60
Cl: 0.3170 0.4937 0.3956  2 Ag 2.53-2.60
Cl: 0.3233 0.9019 0.0063  2 Ag 2.53-2.60
Cl: 0.3233 0.9215 0.3170  2 Ag 2.53-2.60
Cl: 0.3956 0.3170 0.4937  2 Ag 2.53-2.60
Cl: 0.3956 0.5785 0.9019  2 Ag 2.53-2.60
Cl: 0.4019 0.0785 0.8956  2 Ag 2.53-2.60
Cl: 0.4019 0.8233 0.5063  2 Ag 2.53-2.60
Cl: 0.4215 0.0981 0.6044  2 Ag 2.53-2.60
Cl: 0.4215 0.8233 0.8170  2 Ag 2.53-2.60
Cl: 0.4937 0.3956 0.3170  2 Ag 2.53-2.60
Cl: 0.4937 0.5981 0.1767  2 Ag 2.53-2.60
Cl: 0.5063 0.4019 0.8233  2 Ag 2.53-2.60
Cl: 0.5063 0.6044 0.6830  2 Ag 2.53-2.60
Cl: 0.5785 0.1767 0.1830  2 Ag 2.53-2.60
Cl: 0.5785 0.9019 0.3956  2 Ag 2.53-2.60
Cl: 0.5981 0.1767 0.4937  2 Ag 2.53-2.60
Cl: 0.5981 0.9215 0.1044  2 Ag 2.53-2.60
Cl: 0.6044 0.4215 0.0981  2 Ag 2.53-2.60
Cl: 0.6044 0.6830 0.5063  2 Ag 2.53-2.60
Cl: 0.6767 0.0785 0.6830  2 Ag 2.53-2.60
Cl: 0.6767 0.0981 0.9937  2 Ag 2.53-2.60
Cl: 0.6830 0.5063 0.6044  2 Ag 2.53-2.60
Cl: 0.6830 0.6767 0.0785  2 Ag 2.53-2.60
Cl: 0.8170 0.4215 0.8233  2 Ag 2.53-2.60
Cl: 0.8170 0.8956 0.9937  2 Ag 2.53-2.60
Cl: 0.8233 0.5063 0.4019  2 Ag 2.53-2.60
Cl: 0.8233 0.8170 0.4215  2 Ag 2.53-2.60
Cl: 0.8956 0.4019 0.0785  2 Ag 2.53-2.60
Cl: 0.8956 0.9937 0.8170  2 Ag 2.53-2.60
Cl: 0.9019 0.0063 0.3233  2 Ag 2.53-2.60
Cl: 0.9019 0.3956 0.5785  2 Ag 2.53-2.60
Cl: 0.9215 0.1044 0.5981  2 Ag 2.53-2.60
Cl: 0.9215 0.3170 0.3233  2 Ag 2.53-2.60
Cl: 0.9937 0.6767 0.0981  2 Ag 2.53-2.60
Cl: 0.9937 0.8170 0.8956  2 Ag 2.53-2.60

Computed properties:
Symmetry: Ia-3d (230)
D(E_F), states/eV per atom: 0.79
Formation energy from raw total energies, eV/atom: -0.832

***

First-principles (PBE-GGA) data for Cs4AgCl5 after structural relaxation, as listed in Alexandria.

abc: 8.2894 8.2894 8.2894
angles: 100.38 100.38 129.78
Last column: nearest neighbours and their distance in Å.
Sites, in units of the cell vectors:
Cs: 0.0944 0.2973 0.3916  5 Cl 3.35-3.57
Cs: 0.2973 0.9056 0.2029  5 Cl 3.35-3.57
Cs: 0.7027 0.0944 0.7971  5 Cl 3.35-3.57
Cs: 0.9056 0.7027 0.6084  5 Cl 3.35-3.57
Ag: 0.5554 0.5554 0.0000  5 Cl 2.64-2.94
Cl: 0.2357 0.5817 0.8254  1 Ag 2.94
Cl: 0.4103 0.2357 0.6540  1 Ag 2.94
Cl: 0.5817 0.7563 0.3460  1 Ag 2.94
Cl: 0.7563 0.4103 0.1746  1 Ag 2.94
Cl: 0.9310 0.9310 0.0000  1 Ag 2.64

Computed properties:
Symmetry: I4 (79)
D(E_F), states/eV per atom: 0.00
Formation energy from raw total energies, eV/atom: -1.618

***

First-principles (PBE-GGA) data for CsAg2Cl4 after structural relaxation, as listed in Alexandria.

abc: 7.0187 7.0187 7.0187
angles: 101.32 101.32 127.40
Last column: nearest neighbours and their distance in Å.
Sites, in units of the cell vectors:
Cs: 0.0000 0.0000 0.0000  8 Cl 3.95
Ag: 0.2500 0.7500 0.5000  4 Cl 2.54
Ag: 0.7500 0.2500 0.5000  4 Cl 2.54
Cl: 0.2257 0.5000 0.7257  2 Ag 2.54
Cl: 0.5000 0.2257 0.7257  2 Ag 2.54
Cl: 0.5000 0.7743 0.2743  2 Ag 2.54
Cl: 0.7743 0.5000 0.2743  2 Ag 2.54

Computed properties:
Symmetry: I4/mmm (139)
Excess energy over the best structure of this formula in the dataset, meV/atom: 28
D(E_F), states/eV per atom: 1.39
Formation energy from raw total energies, eV/atom: -0.757

***

First-principles (PBE-GGA) data for CsAgCl4 after structural relaxation, as listed in Alexandria.

abc: 7.4837 6.2796 10.4281
angles: 90.00 120.64 90.00
Last column: nearest neighbours and their distance in Å.
Sites, in units of the cell vectors:
Cs: 0.0000 0.0000 0.0000  10 Cl 3.62-3.84
Cs: 0.0000 0.5000 0.5000  10 Cl 3.62-3.84
Ag: 0.5000 0.0000 0.5000  4 Cl 2.33-2.34
Ag: 0.5000 0.5000 0.0000  4 Cl 2.33-2.34
Cl: 0.1397 0.0088 0.3907  1 Ag 2.33
Cl: 0.1397 0.4912 0.8907  1 Ag 2.33
Cl: 0.4655 0.7310 0.3338  1 Ag 2.34
Cl: 0.4655 0.7690 0.8338  1 Ag 2.34
Cl: 0.5345 0.2310 0.1662  1 Ag 2.34
Cl: 0.5345 0.2690 0.6662  1 Ag 2.34
Cl: 0.8603 0.5088 0.1093  1 Ag 2.33
Cl: 0.8603 0.9912 0.6093  1 Ag 2.33

Computed properties:
Symmetry: P2_1/c (14)
Formation energy from raw total energies, eV/atom: -0.879

***

First-principles (PBE-GGA) data for CsAgCl4 after structural relaxation, as listed in Alexandria.

abc: 6.4853 6.4853 9.8571
angles: 90.00 90.00 90.00
Last column: nearest neighbours and their distance in Å.
Sites, in units of the cell vectors:
Cs: 0.2500 0.7500 0.2500  12 Cl 3.85-3.86
Cs: 0.7500 0.2500 0.7500  12 Cl 3.85-3.86
Ag: 0.2500 0.7500 0.7500  4 Cl 2.43
Ag: 0.7500 0.2500 0.2500  4 Cl 2.43
Cl: 0.0374 0.2500 0.0912  1 Ag 2.43
Cl: 0.2500 0.0374 0.5912  1 Ag 2.43
Cl: 0.2500 0.4626 0.5912  1 Ag 2.43
Cl: 0.4626 0.2500 0.0912  1 Ag 2.43
Cl: 0.5374 0.7500 0.9088  1 Ag 2.43
Cl: 0.7500 0.5374 0.4088  1 Ag 2.43
Cl: 0.7500 0.9626 0.4088  1 Ag 2.43
Cl: 0.9626 0.7500 0.9088  1 Ag 2.43

Computed properties:
Symmetry: P4_2/nmc (137)
D(E_F), states/eV per atom: 0.55
Formation energy from raw total energies, eV/atom: -0.713

***

First-principles (PBE-GGA) data for Cs4Ag3Cl10 after structural relaxation, as listed in Alexandria.

abc: 19.3741 19.3741 19.3741
angles: 164.54 164.54 21.93
Last column: nearest neighbours and their distance in Å.
Sites, in units of the cell vectors:
Cs: 0.0676 0.0676 0.0000  12 Cl 3.66-3.69
Cs: 0.2006 0.2006 0.0000  9 Cl 3.55-3.69
Cs: 0.7994 0.7994 0.0000  9 Cl 3.55-3.69
Cs: 0.9324 0.9324 0.0000  12 Cl 3.66-3.69
Ag: 0.3628 0.3628 0.0000  6 Cl 2.61-2.64
Ag: 0.5000 0.5000 0.0000  6 Cl 2.58-2.61
Ag: 0.6372 0.6372 0.0000  6 Cl 2.61-2.64
Cl: 0.0000 0.5000 0.5000  2 Ag 2.61
Cl: 0.1356 0.6356 0.5000  2 Ag 2.61
Cl: 0.2938 0.2938 0.0000  1 Ag 2.63
Cl: 0.3644 0.8644 0.5000  2 Ag 2.61
Cl: 0.4322 0.4322 0.0000  2 Ag 2.58-2.64
Cl: 0.5000 0.0000 0.5000  2 Ag 2.61
Cl: 0.5678 0.5678 0.0000  2 Ag 2.58-2.64
Cl: 0.6356 0.1356 0.5000  2 Ag 2.61
Cl: 0.7062 0.7062 0.0000  1 Ag 2.63
Cl: 0.8644 0.3644 0.5000  2 Ag 2.61

Computed properties:
Symmetry: I4/mmm (139)
D(E_F), states/eV per atom: 0.33
Formation energy from raw total energies, eV/atom: -1.181

***

Question: The lowest formation energy from raw total energies belongs to which entry?
Answer: Cs4AgCl5

***

Question: Which of these has the highest formation energy from raw total energies?
Answer: number 11

***

Question: Look up the formation energy from raw total energies of the fourth one.
Answer: -1.486 eV/atom